The following is a DFT calculation (GGA-PBE) of crystalline Ba3Ag6Sn5 at its relaxed geometry.

Lattice parameters (Å, degrees): 4.9013 14.4780 10.6905 90.00 90.00 90.00
With the nearest neighbours (Å) after each atom.
Atoms (fractional coordinates):
Ba (0.2500, 0.0630, 0.2475)  8 Ag 3.53-3.83, 7 Sn 3.53-3.94
Ba (0.2500, 0.4370, 0.2475)  8 Ag 3.53-3.83, 7 Sn 3.53-3.94
Ba (0.2500, 0.7500, 0.2387)  6 Ag 3.46-3.85, 6 Sn 3.58-3.64
Ba (0.7500, 0.2500, 0.7613)  6 Ag 3.46-3.85, 6 Sn 3.58-3.64
Ba (0.7500, 0.5630, 0.7525)  8 Ag 3.53-3.83, 7 Sn 3.53-3.94
Ba (0.7500, 0.9370, 0.7525)  8 Ag 3.53-3.83, 7 Sn 3.53-3.94
Ag (0.2500, 0.0750, 0.6053)  1 Ag 2.85, 4 Sn 2.94-3.10
Ag (0.2500, 0.2500, 0.0324)  4 Sn 2.89-3.04
Ag (0.2500, 0.2500, 0.4832)  2 Ag 2.85, 4 Sn 2.99
Ag (0.2500, 0.4250, 0.6053)  1 Ag 2.85, 4 Sn 2.94-3.10
Ag (0.2500, 0.6004, 0.9863)  4 Sn 2.85-2.95
Ag (0.2500, 0.8996, 0.9863)  4 Sn 2.85-2.95
Ag (0.7500, 0.1004, 0.0137)  4 Sn 2.85-2.95
Ag (0.7500, 0.3996, 0.0137)  4 Sn 2.85-2.95
Ag (0.7500, 0.5750, 0.3947)  1 Ag 2.85, 4 Sn 2.94-3.10
Ag (0.7500, 0.7500, 0.5168)  2 Ag 2.85, 4 Sn 2.99
Ag (0.7500, 0.7500, 0.9676)  4 Sn 2.89-3.04
Ag (0.7500, 0.9250, 0.3947)  1 Ag 2.85, 4 Sn 2.94-3.10
Sn (0.2500, 0.0855, 0.8798)  5 Ag 2.85-2.94
Sn (0.2500, 0.4145, 0.8798)  5 Ag 2.85-2.94
Sn (0.2500, 0.6328, 0.5339)  5 Ag 2.99-3.10, 1 Sn 3.30
Sn (0.2500, 0.7500, 0.7988)  4 Ag 2.95-3.04, 2 Sn 3.30
Sn (0.2500, 0.8672, 0.5339)  5 Ag 2.99-3.10, 1 Sn 3.30
Sn (0.7500, 0.1328, 0.4661)  5 Ag 2.99-3.10, 1 Sn 3.30
Sn (0.7500, 0.2500, 0.2012)  4 Ag 2.95-3.04, 2 Sn 3.30
Sn (0.7500, 0.3672, 0.4661)  5 Ag 2.99-3.10, 1 Sn 3.30
Sn (0.7500, 0.5855, 0.1202)  5 Ag 2.85-2.94
Sn (0.7500, 0.9145, 0.1202)  5 Ag 2.85-2.94

As for the space group: Pmmn, No. 59. The value obtained for the calculated formation energy is -34 kJ per mole of atoms.